Entry 1:
3
Lattice="4.178 0.000 0.000 -2.089 3.618 0.000 0.000 0.000 2.302" Properties=species:S:1:pos:R:3 comment="LiCrCu PBEsol relaxed" delta_e_f_ev_per_atom=0.466 total_magnetization_mub_per_atom=0.43 de_polymorph_ev_per_atom=0.115 sg="P3m1, No. 156" pbc="T T T"
Li 0.000 0.000 0.000
Cr 0.000 2.412 1.300
Cu 2.089 1.206 0.223

---

Entry 2:
16
Lattice="4.755 0.000 0.000 0.000 12.074 0.000 0.000 0.000 4.023" Properties=species:S:1:pos:R:3 comment="Zr2AlCu5 PBEsol relaxed" delta_e_f_ev_per_atom=-0.218 total_magnetization_mub_per_atom=0.00 sg="Pbam, No. 55" pbc="T T T"
Zr 1.156 1.960 0.000
Zr 1.221 7.997 0.000
Zr 3.533 4.077 0.000
Zr 3.599 10.114 0.000
Al 0.000 6.037 2.012
Al 2.377 0.000 2.012
Cu 0.000 0.000 2.012
Cu 1.163 3.733 2.012
Cu 1.180 5.255 0.000
Cu 1.198 11.292 0.000
Cu 1.214 9.770 2.012
Cu 2.377 6.037 2.012
Cu 3.540 2.304 2.012
Cu 3.557 0.782 0.000
Cu 3.575 6.819 0.000
Cu 3.592 8.341 2.012